Density functional theory data (PBE) for a relaxed structure of Mo5Br3.

```
data_Mo5Br3
_chemical_formula_sum 'Mo10 Br6'
_symmetry_space_group_name_H-M 'P 63/m c m'
_symmetry_Int_Tables_number 193
_symmetry_space_group_name_Hall '-P 6c 2'
_cell_length_a 8.1801
_cell_length_b 8.1801
_cell_length_c 5.2269
_cell_angle_alpha 90.00
_cell_angle_beta 90.00
_cell_angle_gamma 120.00
loop_
_atom_site_label
_atom_site_fract_x
_atom_site_fract_y
_atom_site_fract_z
_atom_site_occupancy
Mo1 0.0000 0.1713 0.2500 1
Mo2 0.3333 0.6667 0.0000 1
Br1 0.0000 0.3896 0.7500 1
```

Properties
Size of the total moment in μB/atom: 0.0000
Formation energy from raw total energies in kJ per mole of atoms: 108.3
Total energy in eV per cell: -100.393